Below is crystalline Li2CoSeO at its relaxed geometry, with properties calculated at the GGA+U level.

a b c (Å): 4.8745 4.8745 4.1875
angles (deg): 90.00 90.00 90.00
Atoms (fractional coordinates):
Li1 0.0000 0.5000 0.0000
Li2 0.5000 0.0000 0.0000
Co1 0.0000 0.0000 0.0000
Se1 0.0000 0.0000 0.5000
O1 0.5000 0.5000 0.5000

Values from the calculation:
The calculated total energy is -3.265 eV/atom. The density of states at the Fermi level is 0.662 states/eV/atom. The crystal system is tetragonal.

=====

Below is crystalline Li2CoSeO4 at its relaxed geometry, with properties calculated at the GGA+U level.

a b c (Å): 5.7476 5.7476 5.9850
angles (deg): 114.14 114.14 87.59
Atoms (fractional coordinates):
Li1 0.0000 0.0000 0.0000
Li2 0.0000 0.0000 0.5000
Li3 0.0000 0.5000 0.0000
Li4 0.5000 0.0000 0.5000
Co1 0.5000 0.5000 0.0000
Co2 0.5000 0.5000 0.5000
Se1 0.0000 0.5000 0.5000
Se2 0.5000 0.0000 0.0000
O1 0.2306 0.7268 0.4736
O2 0.2732 0.7694 0.0264
O3 0.3087 0.3100 0.6010
O4 0.3100 0.3087 0.1010
O5 0.6900 0.6913 0.8990
O6 0.6913 0.6900 0.3990
O7 0.7268 0.2306 0.9736
O8 0.7694 0.2732 0.5264

Values from the calculation:
The calculated total energy is -5.087 eV/atom. The density of states at the Fermi level is 0.200 states/eV/atom. The crystal system is monoclinic.

=====

Below is crystalline Li2CoSi2O6 at its relaxed geometry, with properties calculated at the GGA+U level.

a b c (Å): 5.6415 5.6415 9.3370
angles (deg): 90.20 90.20 117.79
Atoms (fractional coordinates):
Li1 0.1034 0.7734 0.6168
Li2 0.2266 0.8966 0.8832
Li3 0.7734 0.1034 0.1168
Li4 0.8966 0.2266 0.3832
Co1 0.2498 0.7502 0.2500
Co2 0.7502 0.2498 0.7500
Si1 0.3006 0.3625 0.6348
Si2 0.3625 0.3006 0.1348
Si3 0.6375 0.6994 0.8652
Si4 0.6994 0.6375 0.3652
O1 0.0103 0.7356 0.4099
O2 0.1293 0.3595 0.2037
O3 0.2644 0.9897 0.0901
O4 0.3595 0.1293 0.7037
O5 0.3829 0.6172 0.7500
O6 0.5000 0.5000 0.0000
O7 0.5000 0.5000 0.5000
O8 0.6172 0.3829 0.2500
O9 0.6405 0.8707 0.2963
O10 0.7356 0.0103 0.9099
O11 0.8707 0.6405 0.7963
O12 0.9897 0.2644 0.5901

Values from the calculation:
The calculated total energy is -6.809 eV/atom. The density of states at the Fermi level is 0.000 states/eV/atom. The crystal system is monoclinic.

=====

Question: Which value of calculated total energy does entry 1 give?
Answer: -3.265 eV/atom